Version P
# ZrTe5 PBE relaxed
data_ZrTe5
_space_group_name_H-M_alt 'P 1'
_space_group_IT_number 1
_space_group_name_Hall 'P 1'
_cell_length_a 4.0155
_cell_length_b 7.3753
_cell_length_c 7.9804
_cell_angle_alpha 97.17
_cell_angle_beta 104.51
_cell_angle_gamma 105.79
loop_
_atom_site_label
_atom_site_type_symbol
_atom_site_fract_x
_atom_site_fract_y
_atom_site_fract_z
Zr1 Zr 0.0000 0.0000 0.0000
Te1 Te 0.1708 0.4095 0.9306
Te2 Te 0.3230 0.9434 0.7008
Te3 Te 0.4998 0.8114 0.1890
Te4 Te 0.6876 0.6155 0.7570
Te5 Te 0.7345 0.2274 0.2430
# - ρ (g/cm³) = 5.622



Version Q
# ZrTe5 PBE relaxed
data_ZrTe5
_space_group_name_H-M_alt 'P 1'
_space_group_IT_number 1
_space_group_name_Hall 'P 1'
_cell_length_a 5.9562
_cell_length_b 5.9562
_cell_length_c 8.4969
_cell_angle_alpha 98.43
_cell_angle_beta 98.43
_cell_angle_gamma 38.30
loop_
_atom_site_label
_atom_site_type_symbol
_atom_site_fract_x
_atom_site_fract_y
_atom_site_fract_z
Zr1 Zr 0.0000 0.0000 0.0000
Te1 Te 0.2937 0.2937 0.9550
Te2 Te 0.2992 0.2992 0.6120
Te3 Te 0.5443 0.5443 0.7432
Te4 Te 0.6096 0.6096 0.2445
Te5 Te 0.8786 0.8786 0.2959
# - ρ (g/cm³) = 6.561



Short version: version P is the most stable of them.



Version P
# ZrTe5 PBE relaxed
data_ZrTe5
_space_group_name_H-M_alt 'P 1'
_space_group_IT_number 1
_space_group_name_Hall 'P 1'
_cell_length_a 8.1274
_cell_length_b 8.1274
_cell_length_c 13.8330
_cell_angle_alpha 90.00
_cell_angle_beta 90.00
_cell_angle_gamma 151.17
loop_
_atom_site_label
_atom_site_type_symbol
_atom_site_fract_x
_atom_site_fract_y
_atom_site_fract_z
Zr1 Zr 0.1867 0.8133 0.7500
Zr2 Zr 0.8133 0.1867 0.2500
Te1 Te 0.1713 0.8287 0.2500
Te2 Te 0.2866 0.7134 0.5657
Te3 Te 0.2866 0.7134 0.9343
Te4 Te 0.4205 0.5795 0.1497
Te5 Te 0.4205 0.5795 0.3503
Te6 Te 0.5795 0.4205 0.6497
Te7 Te 0.5795 0.4205 0.8503
Te8 Te 0.7134 0.2866 0.0657
Te9 Te 0.7134 0.2866 0.4343
Te10 Te 0.8287 0.1713 0.7500
# - ρ (g/cm³) = 5.497



Version Q
# ZrTe5 PBE relaxed
data_ZrTe5
_space_group_name_H-M_alt 'P 1'
_space_group_IT_number 1
_space_group_name_Hall 'P 1'
_cell_length_a 8.1926
_cell_length_b 8.1926
_cell_length_c 5.7022
_cell_angle_alpha 90.00
_cell_angle_beta 90.00
_cell_angle_gamma 151.80
loop_
_atom_site_label
_atom_site_type_symbol
_atom_site_fract_x
_atom_site_fract_y
_atom_site_fract_z
Zr1 Zr 0.0000 0.0000 0.0000
Te1 Te 0.1367 0.8633 0.5000
Te2 Te 0.3579 0.6421 0.0000
Te3 Te 0.5000 0.5000 0.5000
Te4 Te 0.6421 0.3579 0.0000
Te5 Te 0.8633 0.1367 0.5000
# - ρ (g/cm³) = 6.694



Version R
# ZrTe5 PBE relaxed
data_ZrTe5
_space_group_name_H-M_alt 'P 1'
_space_group_IT_number 1
_space_group_name_Hall 'P 1'
_cell_length_a 6.2302
_cell_length_b 6.2302
_cell_length_c 6.2302
_cell_angle_alpha 60.00
_cell_angle_beta 60.00
_cell_angle_gamma 60.00
loop_
_atom_site_label
_atom_site_type_symbol
_atom_site_fract_x
_atom_site_fract_y
_atom_site_fract_z
Zr1 Zr 0.0000 0.0000 0.0000
Te1 Te 0.3741 0.3741 0.3741
Te2 Te 0.3741 0.3741 0.8778
Te3 Te 0.3741 0.8778 0.3741
Te4 Te 0.7500 0.7500 0.7500
Te5 Te 0.8778 0.3741 0.3741
# - ρ (g/cm³) = 7.081



Short version: version P is the most stable of them.



Version P
# Zr3Te5 PBE relaxed
data_Zr3Te5
_space_group_name_H-M_alt 'P 1'
_space_group_IT_number 1
_space_group_name_Hall 'P 1'
_cell_length_a 8.6316
_cell_length_b 8.6316
_cell_length_c 8.6272
_cell_angle_alpha 98.57
_cell_angle_beta 98.57
_cell_angle_gamma 134.55
loop_
_atom_site_label
_atom_site_type_symbol
_atom_site_fract_x
_atom_site_fract_y
_atom_site_fract_z
Zr1 Zr 0.0000 0.0000 0.0000
Zr2 Zr 0.1651 0.4997 0.6661
Zr3 Zr 0.2165 0.7163 0.1659
Zr4 Zr 0.4997 0.1651 0.6661
Zr5 Zr 0.6631 0.6631 0.3303
Zr6 Zr 0.7163 0.2165 0.1659
Te1 Te 0.0339 0.6693 0.4509
Te2 Te 0.1173 0.1173 0.6652
Te3 Te 0.1691 0.3843 0.3013
Te4 Te 0.2496 0.8852 0.8811
Te5 Te 0.3843 0.1691 0.3013
Te6 Te 0.5344 0.7495 0.0302
Te7 Te 0.6176 0.6176 0.6659
Te8 Te 0.6693 0.0339 0.4509
Te9 Te 0.7495 0.5344 0.0302
Te10 Te 0.8852 0.2496 0.8811
# - ρ (g/cm³) = 7.164



Version Q
# Zr3Te5 PBE relaxed
data_Zr3Te5
_space_group_name_H-M_alt 'P 1'
_space_group_IT_number 1
_space_group_name_Hall 'P 1'
_cell_length_a 6.3325
_cell_length_b 6.3325
_cell_length_c 5.1692
_cell_angle_alpha 90.00
_cell_angle_beta 90.00
_cell_angle_gamma 107.85
loop_
_atom_site_label
_atom_site_type_symbol
_atom_site_fract_x
_atom_site_fract_y
_atom_site_fract_z
Zr1 Zr 0.0000 0.0000 0.0000
Zr2 Zr 0.2385 0.7615 0.5000
Zr3 Zr 0.7615 0.2385 0.5000
Te1 Te 0.0000 0.5000 0.0000
Te2 Te 0.2212 0.2212 0.5000
Te3 Te 0.5000 0.0000 0.0000
Te4 Te 0.5000 0.5000 0.0000
Te5 Te 0.7788 0.7788 0.5000
# - ρ (g/cm³) = 7.673



Short version: version P is the most stable of them.



Version P
# Zr5Te6 PBE relaxed
data_Zr5Te6
_space_group_name_H-M_alt 'P 1'
_space_group_IT_number 1
_space_group_name_Hall 'P 1'
_cell_length_a 11.8014
_cell_length_b 11.8014
_cell_length_c 7.1657
_cell_angle_alpha 90.00
_cell_angle_beta 90.00
_cell_angle_gamma 120.00
loop_
_atom_site_label
_atom_site_type_symbol
_atom_site_fract_x
_atom_site_fract_y
_atom_site_fract_z
Zr1 Zr 0.0000 0.0000 0.0000
Zr2 Zr 0.0000 0.2977 0.0000
Zr3 Zr 0.0000 0.3628 0.5000
Zr4 Zr 0.0000 0.6372 0.5000
Zr5 Zr 0.0000 0.7023 0.0000
Zr6 Zr 0.2977 0.0000 0.0000
Zr7 Zr 0.2977 0.2977 0.0000
Zr8 Zr 0.3333 0.6667 0.4884
Zr9 Zr 0.3628 0.0000 0.5000
Zr10 Zr 0.3628 0.3628 0.5000
Zr11 Zr 0.6372 0.0000 0.5000
Zr12 Zr 0.6372 0.6372 0.5000
Zr13 Zr 0.6667 0.3333 0.5116
Zr14 Zr 0.7023 0.0000 0.0000
Zr15 Zr 0.7023 0.7023 0.0000
Te1 Te 0.1065 0.2130 0.2896
Te2 Te 0.1065 0.8935 0.2896
Te3 Te 0.1177 0.5588 0.2085
Te4 Te 0.2130 0.1065 0.7104
Te5 Te 0.2245 0.4490 0.7553
Te6 Te 0.2245 0.7755 0.7553
Te7 Te 0.4412 0.5588 0.2085
Te8 Te 0.4412 0.8823 0.2085
Te9 Te 0.4490 0.2245 0.2447
Te10 Te 0.5510 0.7755 0.7553
Te11 Te 0.5588 0.1177 0.7915
Te12 Te 0.5588 0.4412 0.7915
Te13 Te 0.7755 0.2245 0.2447
Te14 Te 0.7755 0.5510 0.2447
Te15 Te 0.7870 0.8935 0.2896
Te16 Te 0.8823 0.4412 0.7915
Te17 Te 0.8935 0.1065 0.7104
Te18 Te 0.8935 0.7870 0.7104
# - ρ (g/cm³) = 7.042



Version Q
# Zr5Te6 PBE relaxed
data_Zr5Te6
_space_group_name_H-M_alt 'P 1'
_space_group_IT_number 1
_space_group_name_Hall 'P 1'
_cell_length_a 6.9584
_cell_length_b 6.9584
_cell_length_c 6.8641
_cell_angle_alpha 98.99
_cell_angle_beta 98.99
_cell_angle_gamma 115.50
loop_
_atom_site_label
_atom_site_type_symbol
_atom_site_fract_x
_atom_site_fract_y
_atom_site_fract_z
Zr1 Zr 0.0000 0.0000 0.0000
Zr2 Zr 0.1363 0.8637 0.5000
Zr3 Zr 0.2915 0.7085 0.0000
Zr4 Zr 0.7085 0.2915 0.0000
Zr5 Zr 0.8637 0.1363 0.5000
Te1 Te 0.1292 0.4399 0.2808
Te2 Te 0.2886 0.2886 0.7778
Te3 Te 0.4399 0.1292 0.2808
Te4 Te 0.5601 0.8708 0.7192
Te5 Te 0.7114 0.7114 0.2222
Te6 Te 0.8708 0.5601 0.7192
# - ρ (g/cm³) = 7.073



Short version: version P is the most stable of them.



Version P
# Th PBE relaxed
data_Th
_space_group_name_H-M_alt 'P 1'
_space_group_IT_number 1
_space_group_name_Hall 'P 1'
_cell_length_a 3.5882
_cell_length_b 3.5882
_cell_length_c 11.6064
_cell_angle_alpha 90.00
_cell_angle_beta 90.00
_cell_angle_gamma 120.00
loop_
_atom_site_label
_atom_site_type_symbol
_atom_site_fract_x
_atom_site_fract_y
_atom_site_fract_z
Th1 Th 0.0000 0.0000 0.0000
Th2 Th 0.0000 0.0000 0.5000
Th3 Th 0.3333 0.6667 0.2500
Th4 Th 0.6667 0.3333 0.7500
# - ρ (g/cm³) = 11.909



Version Q
# Th PBE relaxed
data_Th
_space_group_name_H-M_alt 'P 1'
_space_group_IT_number 1
_space_group_name_Hall 'P 1'
_cell_length_a 3.5614
_cell_length_b 3.5614
_cell_length_c 3.5614
_cell_angle_alpha 60.00
_cell_angle_beta 60.00
_cell_angle_gamma 60.00
loop_
_atom_site_label
_atom_site_type_symbol
_atom_site_fract_x
_atom_site_fract_y
_atom_site_fract_z
Th1 Th 0.0000 0.0000 0.0000
# - ρ (g/cm³) = 12.063



Short version: version Q is the most stable of them.



Version P
# Th PBE relaxed
data_Th
_space_group_name_H-M_alt 'P 1'
_space_group_IT_number 1
_space_group_name_Hall 'P 1'
_cell_length_a 4.7645
_cell_length_b 4.7645
_cell_length_c 4.7645
_cell_angle_alpha 97.45
_cell_angle_beta 97.45
_cell_angle_gamma 137.80
loop_
_atom_site_label
_atom_site_type_symbol
_atom_site_fract_x
_atom_site_fract_y
_atom_site_fract_z
Th1 Th 0.3750 0.6250 0.7500
Th2 Th 0.6250 0.3750 0.2500
# - ρ (g/cm³) = 11.369



Version Q
# Th PBE relaxed
data_Th
_space_group_name_H-M_alt 'P 1'
_space_group_IT_number 1
_space_group_name_Hall 'P 1'
_cell_length_a 3.5529
_cell_length_b 3.5529
_cell_length_c 5.9532
_cell_angle_alpha 90.00
_cell_angle_beta 90.00
_cell_angle_gamma 120.00
loop_
_atom_site_label
_atom_site_type_symbol
_atom_site_fract_x
_atom_site_fract_y
_atom_site_fract_z
Th1 Th 0.3333 0.6667 0.2500
Th2 Th 0.6667 0.3333 0.7500
# - ρ (g/cm³) = 11.841



Version R
# Th PBE relaxed
data_Th
_space_group_name_H-M_alt 'P 1'
_space_group_IT_number 1
_space_group_name_Hall 'P 1'
_cell_length_a 5.7211
_cell_length_b 5.7211
_cell_length_c 3.4874
_cell_angle_alpha 90.00
_cell_angle_beta 90.00
_cell_angle_gamma 120.00
loop_
_atom_site_label
_atom_site_type_symbol
_atom_site_fract_x
_atom_site_fract_y
_atom_site_fract_z
Th1 Th 0.0000 0.0000 0.0000
Th2 Th 0.3333 0.6667 0.5000
Th3 Th 0.6667 0.3333 0.5000
# - ρ (g/cm³) = 11.692



Short version: version Q is the most stable of them.



Version P
# ThTi3 PBE relaxed
data_ThTi3
_space_group_name_H-M_alt 'P 1'
_space_group_IT_number 1
_space_group_name_Hall 'P 1'
_cell_length_a 5.5646
_cell_length_b 5.5646
_cell_length_c 5.5646
_cell_angle_alpha 142.01
_cell_angle_beta 130.06
_cell_angle_gamma 64.42
loop_
_atom_site_label
_atom_site_type_symbol
_atom_site_fract_x
_atom_site_fract_y
_atom_site_fract_z
Th1 Th 0.0000 0.0000 0.0000
Ti1 Ti 0.2584 0.7584 0.5000
Ti2 Ti 0.5000 0.5000 0.0000
Ti3 Ti 0.7416 0.2416 0.5000
# - ρ (g/cm³) = 7.786



Version Q
# ThTi3 PBE relaxed
data_ThTi3
_space_group_name_H-M_alt 'P 1'
_space_group_IT_number 1
_space_group_name_Hall 'P 1'
_cell_length_a 3.0576
_cell_length_b 4.9048
_cell_length_c 5.5900
_cell_angle_alpha 90.00
_cell_angle_beta 90.00
_cell_angle_gamma 90.00
loop_
_atom_site_label
_atom_site_type_symbol
_atom_site_fract_x
_atom_site_fract_y
_atom_site_fract_z
Th1 Th 0.0000 0.0000 0.0000
Ti1 Ti 0.0000 0.5000 0.6761
Ti2 Ti 0.5000 0.0000 0.4998
Ti3 Ti 0.5000 0.5000 0.2513
# - ρ (g/cm³) = 7.441



Version R
# ThTi3 PBE relaxed
data_ThTi3
_space_group_name_H-M_alt 'P 1'
_space_group_IT_number 1
_space_group_name_Hall 'P 1'
_cell_length_a 5.0025
_cell_length_b 5.0025
_cell_length_c 5.0025
_cell_angle_alpha 124.97
_cell_angle_beta 124.97
_cell_angle_gamma 81.59
loop_
_atom_site_label
_atom_site_type_symbol
_atom_site_fract_x
_atom_site_fract_y
_atom_site_fract_z
Th1 Th 0.0000 0.0000 0.0000
Ti1 Ti 0.2500 0.7500 0.5000
Ti2 Ti 0.5000 0.5000 0.0000
Ti3 Ti 0.7500 0.2500 0.5000
# - ρ (g/cm³) = 7.709



Short version: version R is the most stable of them.



Version P
# ThTiTl2 PBE relaxed
data_ThTiTl2
_space_group_name_H-M_alt 'P 1'
_space_group_IT_number 1
_space_group_name_Hall 'P 1'
_cell_length_a 6.1200
_cell_length_b 6.1200
_cell_length_c 6.1200
_cell_angle_alpha 45.55
_cell_angle_beta 45.55
_cell_angle_gamma 45.55
loop_
_atom_site_label
_atom_site_type_symbol
_atom_site_fract_x
_atom_site_fract_y
_atom_site_fract_z
Th1 Th 0.0000 0.0000 0.0000
Ti1 Ti 0.5000 0.5000 0.5000
Tl1 Tl 0.2277 0.2277 0.2277
Tl2 Tl 0.7723 0.7723 0.7723
# - ρ (g/cm³) = 10.745



Version Q
# ThTiTl2 PBE relaxed
data_ThTiTl2
_space_group_name_H-M_alt 'P 1'
_space_group_IT_number 1
_space_group_name_Hall 'P 1'
_cell_length_a 3.4023
_cell_length_b 3.4023
_cell_length_c 8.4652
_cell_angle_alpha 90.00
_cell_angle_beta 90.00
_cell_angle_gamma 90.00
loop_
_atom_site_label
_atom_site_type_symbol
_atom_site_fract_x
_atom_site_fract_y
_atom_site_fract_z
Th1 Th 0.0000 0.0000 0.0000
Ti1 Ti 0.0000 0.0000 0.5000
Tl1 Tl 0.5000 0.5000 0.2826
Tl2 Tl 0.5000 0.5000 0.7174
# - ρ (g/cm³) = 11.670



Short version: version Q is the most stable of them.



Version P
# Tm2ThTi PBE relaxed
data_Tm2ThTi
_space_group_name_H-M_alt 'P 1'
_space_group_IT_number 1
_space_group_name_Hall 'P 1'
_cell_length_a 4.6719
_cell_length_b 4.6719
_cell_length_c 4.9251
_cell_angle_alpha 90.00
_cell_angle_beta 90.00
_cell_angle_gamma 90.00
loop_
_atom_site_label
_atom_site_type_symbol
_atom_site_fract_x
_atom_site_fract_y
_atom_site_fract_z
Tm1 Tm 0.0000 0.5000 0.0000
Tm2 Tm 0.5000 0.0000 0.0000
Th1 Th 0.0000 0.0000 0.5000
Ti1 Ti 0.5000 0.5000 0.5000
# - ρ (g/cm³) = 9.543



Version Q
# Tm2ThTi PBE relaxed
data_Tm2ThTi
_space_group_name_H-M_alt 'P 1'
_space_group_IT_number 1
_space_group_name_Hall 'P 1'
_cell_length_a 11.7208
_cell_length_b 11.7208
_cell_length_c 11.7208
_cell_angle_alpha 16.48
_cell_angle_beta 16.48
_cell_angle_gamma 16.48
loop_
_atom_site_label
_atom_site_type_symbol
_atom_site_fract_x
_atom_site_fract_y
_atom_site_fract_z
Tm1 Tm 0.0843 0.0843 0.0843
Tm2 Tm 0.9157 0.9157 0.9157
Th1 Th 0.5000 0.5000 0.5000
Ti1 Ti 0.0000 0.0000 0.0000
# - ρ (g/cm³) = 9.080



Short version: version P is the most stable of them.



Version P
# Th2TiZn PBE relaxed
data_Th2TiZn
_space_group_name_H-M_alt 'P 1'
_space_group_IT_number 1
_space_group_name_Hall 'P 1'
_cell_length_a 5.2244
_cell_length_b 5.2244
_cell_length_c 5.2244
_cell_angle_alpha 60.00
_cell_angle_beta 60.00
_cell_angle_gamma 60.00
loop_
_atom_site_label
_atom_site_type_symbol
_atom_site_fract_x
_atom_site_fract_y
_atom_site_fract_z
Th1 Th 0.2500 0.2500 0.2500
Th2 Th 0.7500 0.7500 0.7500
Ti1 Ti 0.0000 0.0000 0.0000
Zn1 Zn 0.5000 0.5000 0.5000
# - ρ (g/cm³) = 9.508



Version Q
# Th2TiZn PBE relaxed
data_Th2TiZn
_space_group_name_H-M_alt 'P 1'
_space_group_IT_number 1
_space_group_name_Hall 'P 1'
_cell_length_a 11.2467
_cell_length_b 11.2467
_cell_length_c 11.2467
_cell_angle_alpha 16.73
_cell_angle_beta 16.73
_cell_angle_gamma 16.73
loop_
_atom_site_label
_atom_site_type_symbol
_atom_site_fract_x
_atom_site_fract_y
_atom_site_fract_z
Th1 Th 0.0884 0.0884 0.0884
Th2 Th 0.9116 0.9116 0.9116
Ti1 Ti 0.0000 0.0000 0.0000
Zn1 Zn 0.5000 0.5000 0.5000
# - ρ (g/cm³) = 9.321



Version R
# Th2TiZn PBE relaxed
data_Th2TiZn
_space_group_name_H-M_alt 'P 1'
_space_group_IT_number 1
_space_group_name_Hall 'P 1'
_cell_length_a 5.1660
_cell_length_b 5.1660
_cell_length_c 3.6797
_cell_angle_alpha 90.00
_cell_angle_beta 90.00
_cell_angle_gamma 90.00
loop_
_atom_site_label
_atom_site_type_symbol
_atom_site_fract_x
_atom_site_fract_y
_atom_site_fract_z
Th1 Th 0.0000 0.5000 0.0000
Th2 Th 0.5000 0.0000 0.0000
Ti1 Ti 0.0000 0.0000 0.5000
Zn1 Zn 0.5000 0.5000 0.5000
# - ρ (g/cm³) = 9.763



Short version: version R is the most stable of them.



Version P
# ThTiZn2 PBE relaxed
data_ThTiZn2
_space_group_name_H-M_alt 'P 1'
_space_group_IT_number 1
_space_group_name_Hall 'P 1'
_cell_length_a 4.8850
_cell_length_b 4.8850
_cell_length_c 4.8850
_cell_angle_alpha 60.00
_cell_angle_beta 60.00
_cell_angle_gamma 60.00
loop_
_atom_site_label
_atom_site_type_symbol
_atom_site_fract_x
_atom_site_fract_y
_atom_site_fract_z
Th1 Th 0.0000 0.0000 0.0000
Ti1 Ti 0.5000 0.5000 0.5000
Zn1 Zn 0.2500 0.2500 0.2500
Zn2 Zn 0.7500 0.7500 0.7500
# - ρ (g/cm³) = 8.274



Version Q
# ThTiZn2 PBE relaxed
data_ThTiZn2
_space_group_name_H-M_alt 'P 1'
_space_group_IT_number 1
_space_group_name_Hall 'P 1'
_cell_length_a 3.3597
_cell_length_b 3.3597
_cell_length_c 7.0450
_cell_angle_alpha 90.00
_cell_angle_beta 90.00
_cell_angle_gamma 90.00
loop_
_atom_site_label
_atom_site_type_symbol
_atom_site_fract_x
_atom_site_fract_y
_atom_site_fract_z
Th1 Th 0.0000 0.0000 0.0000
Ti1 Ti 0.0000 0.0000 0.5000
Zn1 Zn 0.5000 0.5000 0.3040
Zn2 Zn 0.5000 0.5000 0.6960
# - ρ (g/cm³) = 8.577



Short version: version Q is the most stable of them.